First-principles (PBE-GGA) data for crystalline InPd12Au3 at its relaxed geometry, as listed in the Alexandria database.

Values from the calculation:
E_form ... -0.14 eV/atom
V ... 258 Å³ per cell
Energy ... -77.16 eV/f.u.

a = 4.0180 Å, b = 4.0180 Å, c = 15.9847 Å
α = 90.00°, β = 90.00°, γ = 90.00°
With the nearest neighbours (Å) after each atom.
Space group P4/mmm (No. 123)
Symmetry-distinct sites (fractional):
In 0.0000 0.0000 0.0000 (multiplicity 1)  12 Pd 2.84
Pd 0.0000 0.5000 0.1253 (multiplicity 4)  2 Au 2.83, 2 In 2.84, 8 Pd 2.84
Pd 0.0000 0.5000 0.3753 (multiplicity 4)  8 Pd 2.83-2.84, 4 Au 2.83
Pd 0.5000 0.5000 0.0000 (multiplicity 1)  8 Pd 2.84, 4 In 2.84
Pd 0.5000 0.5000 0.2510 (multiplicity 2)  8 Pd 2.83-2.84, 4 Au 2.84
Pd 0.5000 0.5000 0.5000 (multiplicity 1)  8 Pd 2.83, 4 Au 2.84
Au 0.0000 0.0000 0.2503 (multiplicity 2)  12 Pd 2.83-2.84
Au 0.0000 0.0000 0.5000 (multiplicity 1)  12 Pd 2.83-2.84